1.
The following is a PBE-GGA calculation of an optimized crystal structure of LaTb2Pm4Tm, from the Alexandria database.

```
LaTb2Pm4Tm
1.0
6.2446 0.0000 0.0000
0.0000 3.6342 0.0000
-2.1118 0.0000 11.8225
La Tb Pm Tm
1 2 4 1
direct
0.0000 0.0000 0.0000
0.0000 0.5000 0.5000
0.5000 0.0000 0.5000
0.2503 0.0000 0.7495
0.2516 0.5000 0.2533
0.7484 0.5000 0.7467
0.7497 0.0000 0.2505
0.5000 0.5000 0.0000
```


2.
The following is a PBE-GGA calculation of an optimized crystal structure of Tb12TmSc6, from the Alexandria database.

```
Tb12TmSc6
1.0
7.3347 4.2347 3.2641
-7.3347 4.2347 3.2641
0.0000 -8.4694 3.2641
Tb Tm Sc
12 1 6
direct
0.0000 0.3882 0.6118
0.0000 0.6118 0.3882
0.1297 0.1297 0.3522
0.1297 0.3522 0.1297
0.3522 0.1297 0.1297
0.3882 0.0000 0.6118
0.3882 0.6118 0.0000
0.6118 0.0000 0.3882
0.6118 0.3882 0.0000
0.6478 0.8703 0.8703
0.8703 0.6478 0.8703
0.8703 0.8703 0.6478
0.5000 0.5000 0.5000
0.1860 0.1860 0.7725
0.1860 0.7725 0.1860
0.2275 0.8140 0.8140
0.7725 0.1860 0.1860
0.8140 0.2275 0.8140
0.8140 0.8140 0.2275
```

## Properties
Energy above the most stable polymorph in this dataset, kJ per mole of atoms: 19.4


Going through the records in order, we get energy of formation values of 0.02, 0.44 eV/atom.
Going through the records in order, we get DOS at the Fermi energy values of 11.734, 27.462 states/eV/cell.